Below is a geometry-optimized PrNd3Ga structure, with properties calculated at the PBE level.

a b c (Å): 5.130 11.152 11.129
angles (deg): 90.00 90.00 90.00
Atoms (fractional coordinates):
Ga: 0.250 0.089 0.671
Pr: 0.250 0.238 0.006
Nd: 0.750 0.925 0.601
Nd: 0.250 0.357 0.685
Nd: 0.250 0.575 0.101
Nd: 0.750 0.143 0.185
Pr: 0.250 0.738 0.494
Nd: 0.250 0.901 0.162
Nd: 0.750 0.099 0.838
Ga: 0.750 0.411 0.171
Ga: 0.250 0.589 0.829
Pr: 0.750 0.762 0.994
Nd: 0.750 0.599 0.662
Nd: 0.750 0.425 0.899
Nd: 0.750 0.643 0.315
Ga: 0.750 0.911 0.329
Nd: 0.250 0.075 0.399
Nd: 0.250 0.401 0.338
Nd: 0.250 0.857 0.815
Pr: 0.750 0.262 0.506

Output
Relative energy among the computed polymorphs, meV/atom: 50
Electronic total energy, eV per atom: -4.5728
Space group: Pnma
Formation energy from the elements, meV/atom: -151
DOS(E_F), states/eV per atom: 1.28
Volume, Å³ per atom: 31.83